[1]
Below is Li2Cd2Si after structural relaxation, with properties calculated at the PBE level.

Calculated values
DOS at the Fermi energy, states/eV/atom: 0.30
E, eV per cell: -21.973
Crystal system: tetragonal
M_tot, μB/cell: 0.00
Uncorrected formation energy, eV/atom: 0.019

CIF file:
```
data_Li2Cd2Si
_chemical_formula_sum 'Li4 Cd4 Si2'
_symmetry_space_group_name_H-M 'P 4/m b m'
_symmetry_Int_Tables_number 127
_symmetry_space_group_name_Hall '-P 4 2ab'
_cell_length_a 6.571
_cell_length_b 6.571
_cell_length_c 4.141
_cell_angle_alpha 90.00
_cell_angle_beta 90.00
_cell_angle_gamma 90.00
loop_
_atom_site_label
_atom_site_fract_x
_atom_site_fract_y
_atom_site_fract_z
_atom_site_occupancy
Li1 0.142 0.358 0.000 1
Cd1 0.163 0.663 0.500 1
Si1 0.000 0.000 0.000 1
```



[2]
Below is LiCdSi2 after structural relaxation, with properties calculated at the PBE level.

Calculated values
DOS at the Fermi energy, states/eV/atom: 0.32
E, eV per cell: -25.810
Crystal system: tetragonal
M_tot, μB/cell: 0.00
Uncorrected formation energy, eV/atom: 0.193

CIF file:
```
data_LiCdSi2
_chemical_formula_sum 'Li2 Cd2 Si4'
_symmetry_space_group_name_H-M 'I -4 m 2'
_symmetry_Int_Tables_number 119
_symmetry_space_group_name_Hall 'I -4 -2'
_cell_length_a 4.060
_cell_length_b 4.060
_cell_length_c 8.248
_cell_angle_alpha 90.00
_cell_angle_beta 90.00
_cell_angle_gamma 90.00
loop_
_atom_site_label
_atom_site_fract_x
_atom_site_fract_y
_atom_site_fract_z
_atom_site_occupancy
Li1 0.000 0.000 0.000 1
Cd1 0.000 0.500 0.250 1
Si1 0.000 0.000 0.500 1
Si2 0.000 0.500 0.750 1
```